Below is a geometry-optimized Ti2NiTe6 structure, with properties calculated at the PBE-GGA level.

Cell: 6.4670 6.4670 11.6257 Å, 90.00 90.00 90.00°
Last column: nearest neighbours and their distance in Å.
Space group P4_2/mnm (No. 136)
One atom of each set of equivalent atoms:
Ti 0.0000 0.0000 0.1536  6 Te 2.67-2.81
Ni 0.0000 0.0000 0.5000  6 Te 2.59-2.64
Te 0.1934 0.1934 0.3316  1 Ni 2.64, 2 Ti 2.72-2.81
Te 0.2171 0.2171 0.0000  1 Ni 2.59, 2 Ti 2.67

Results
DOS at the Fermi energy ... 0.693 states/eV/atom
Total moment ... 0.00 μB/f.u.
DFT total energy ... -43.7 eV per formula unit
Formation energy from raw total energies ... -364 meV per atom

Below is a geometry-optimized TiNi3Te structure, with properties calculated at the PBE-GGA level.

Cell: 4.4360 4.4360 4.4360 Å, 90.00 90.00 90.00°
Last column: nearest neighbours and their distance in Å.
Space group Pm-3m (No. 221)
One atom of each set of equivalent atoms:
Ti 0.0000 0.0000 0.0000  6 Ni 2.22
Ni 0.0000 0.0000 0.5000  2 Ti 2.22
Te 0.5000 0.5000 0.5000  12 Ni 3.14

Results
DOS at the Fermi energy ... 0.840 states/eV/atom
Total moment ... 0.00 μB/f.u.
Polymorph energy (0 for the lowest one) ... 0 meV/atom
DFT total energy ... -24.5 eV per formula unit
Formation energy from raw total energies ... 781 meV per atom

Below is a geometry-optimized Ti2Ni2Te structure, with properties calculated at the PBE-GGA level.

Cell: 6.5957 6.5957 3.5533 Å, 90.00 90.00 90.00°
Last column: nearest neighbours and their distance in Å.
Space group P4/mbm (No. 127)
One atom of each set of equivalent atoms:
Ti 0.1623 0.3377 0.0000  6 Ni 2.62-2.65
Ni 0.1267 0.6267 0.5000  1 Ni 2.36, 2 Te 2.60, 4 Ti 2.62
Te 0.0000 0.0000 0.5000  4 Ni 2.60

Results
DOS at the Fermi energy ... 1.162 states/eV/atom
Total moment ... 0.00 μB/f.u.
DFT total energy ... -32.2 eV per formula unit
Formation energy from raw total energies ... -341 meV per atom

Below is a geometry-optimized TiNiTe4 structure, with properties calculated at the PBE-GGA level.

Cell: 6.1482 3.8316 6.6823 Å, 90.00 92.56 90.00°
Last column: nearest neighbours and their distance in Å.
Space group P2/m (No. 10)
One atom of each set of equivalent atoms:
Ti 0.0000 0.0000 0.0000  6 Te 2.73-2.78
Ni 0.0000 0.5000 0.5000  6 Te 2.59-2.73
Te 0.2315 0.0000 0.3581  2 Ni 2.59, 1 Ti 2.73
Te 0.2673 0.5000 0.8370  1 Ni 2.73, 2 Ti 2.78

Results
DOS at the Fermi energy ... 0.729 states/eV/atom
Total moment ... 0.00 μB/f.u.
DFT total energy ... -28.4 eV per formula unit
Formation energy from raw total energies ... -361 meV per atom

Below is a geometry-optimized Tl4NiTe structure, with properties calculated at the PBE-GGA level.

Cell: 9.0284 9.0284 9.0284 Å, 90.00 90.00 90.00°
Last column: nearest neighbours and their distance in Å.
Space group F-43m (No. 216)
One atom of each set of equivalent atoms:
Tl 0.1250 0.1250 0.1250  6 Tl 3.19
Ni 0.2500 0.2500 0.7500  12 Tl 3.74, 4 Te 3.91
Te 0.0000 0.0000 0.5000  12 Tl 3.74, 4 Ni 3.91

Results
DOS at the Fermi energy ... 1.618 states/eV/atom
Total moment ... 0.65 μB/f.u.
DFT total energy ... -15.2 eV per formula unit
Formation energy from raw total energies ... 523 meV per atom

Below is a geometry-optimized TlNi2Te structure, with properties calculated at the PBE-GGA level.

Cell: 4.7226 4.7226 15.6756 Å, 90.00 90.00 90.00°
Last column: nearest neighbours and their distance in Å.
Space group I-42d (No. 122)
One atom of each set of equivalent atoms:
Tl 0.0000 0.0000 0.0000  4 Ni 2.75
Ni 0.1753 0.2500 0.6250  2 Te 2.43
Te 0.0000 0.0000 0.5000  4 Ni 2.43

Results
DOS at the Fermi energy ... 0.760 states/eV/atom
Total moment ... 0.00 μB/f.u.
Polymorph energy (0 for the lowest one) ... 159 meV/atom
DFT total energy ... -16.2 eV per formula unit
Formation energy from raw total energies ... 226 meV per atom

Below is a geometry-optimized TlNiTe3 structure, with properties calculated at the PBE-GGA level.

Cell: 5.7030 5.7030 5.7030 Å, 90.00 90.00 90.00°
Last column: nearest neighbours and their distance in Å.
Space group Pm-3m (No. 221)
One atom of each set of equivalent atoms:
Tl 0.0000 0.0000 0.0000  6 Te 2.85
Ni 0.5000 0.5000 0.5000  12 Te 4.03
Te 0.0000 0.0000 0.5000  2 Tl 2.85

Results
DOS at the Fermi energy ... 2.098 states/eV/atom
Total moment ... 1.52 μB/f.u.
Polymorph energy (0 for the lowest one) ... 1117 meV/atom
DFT total energy ... -11.5 eV per formula unit
Formation energy from raw total energies ... 1218 meV per atom

Below is a geometry-optimized TlNi2Te structure, with properties calculated at the PBE-GGA level.

Cell: 3.8194 3.8194 18.2290 Å, 90.00 90.00 120.00°
Last column: nearest neighbours and their distance in Å.
Space group R-3m (No. 166, hexagonal axes)
One atom of each set of equivalent atoms:
Tl 0.0000 0.0000 0.0000  6 Ni 2.78
Ni 0.0000 0.0000 0.2405  3 Te 2.58, 3 Tl 2.78
Te 0.0000 0.0000 0.5000  6 Ni 2.58

Results
DOS at the Fermi energy ... 0.884 states/eV/atom
Total moment ... 0.00 μB/f.u.
Polymorph energy (0 for the lowest one) ... 118 meV/atom
DFT total energy ... -16.3 eV per formula unit
Formation energy from raw total energies ... 186 meV per atom